A plane-wave DFT calculation with PBE-GGA was carried out for crystalline Mg5Tl6In at its relaxed geometry.

POSCAR file:
```
Mg5Tl6In
1.0
-1.398 4.596 -1.018
-2.002 -2.343 -7.832
-5.222 -2.732 6.680
Mg Tl In
5 6 1
direct
0.659 0.158 0.317
0.327 0.327 0.655
0.000 0.500 0.000
0.673 0.673 0.345
0.341 0.842 0.683
0.830 0.570 0.661
0.830 0.090 0.661
0.500 0.732 0.000
0.500 0.268 0.000
0.170 0.910 0.339
0.170 0.430 0.339
0.000 0.000 0.000
```

N(E_F): 0.439 states/eV/atom
mass density: 7.88 g/cm3
space group: Immm (71)
ΔH_f (0 K): -0.010 eV per atom
V: 25.68 Å³/atom